Entry 1:
Density functional theory data (meta-GGA SCAN) for a PBEsol-optimized structure of CdWIN2.

Unit cell a=4.1410 b=4.1410 c=6.8851 alpha=90.00 beta=90.00 gamma=90.00
Space group P4/mmm (No. 123)
Inequivalent atoms, fractional coordinates:
Cd 0.0000 0.0000 0.0000 (multiplicity 1)
W 0.5000 0.5000 0.5000 (multiplicity 1)
I 0.0000 0.0000 0.5000 (multiplicity 1)
N 0.0000 0.5000 0.0000 (multiplicity 2)

Output
Spin magnetization   8.04 μB per formula unit

=====

Entry 2:
Density functional theory data (meta-GGA SCAN) for a PBEsol-optimized structure of CdWIN2.

Unit cell a=3.9873 b=3.9873 c=5.6942 alpha=90.00 beta=90.00 gamma=90.00
Space group P4/mmm (No. 123)
Inequivalent atoms, fractional coordinates:
Cd 0.0000 0.0000 0.0000 (multiplicity 1)
W 0.5000 0.5000 0.5000 (multiplicity 1)
I 0.5000 0.5000 0.0000 (multiplicity 1)
N 0.0000 0.5000 0.5000 (multiplicity 2)

Output
Spin magnetization   0.02 μB per formula unit

=====

Entry 3:
Density functional theory data (meta-GGA SCAN) for a PBEsol-optimized structure of ZrCdIN2.

Unit cell a=4.1721 b=4.1721 c=5.9699 alpha=90.00 beta=90.00 gamma=90.00
Space group P4/mmm (No. 123)
Inequivalent atoms, fractional coordinates:
Zr 0.0000 0.0000 0.0000 (multiplicity 1)
Cd 0.5000 0.5000 0.5000 (multiplicity 1)
I 0.0000 0.0000 0.5000 (multiplicity 1)
N 0.0000 0.5000 0.0000 (multiplicity 2)

Output
Spin magnetization   1.36 μB per formula unit

=====

Entry 4:
Density functional theory data (meta-GGA SCAN) for a PBEsol-optimized structure of NaCd2I2.

Unit cell a=6.0338 b=6.0338 c=9.3076 alpha=90.00 beta=90.00 gamma=90.00
Space group I4/mmm (No. 139)
Inequivalent atoms, fractional coordinates:
Na 0.0000 0.0000 0.0000 (multiplicity 2)
Cd 0.0000 0.0000 0.3545 (multiplicity 4)
I 0.0000 0.5000 0.2500 (multiplicity 4)

Output
Spin magnetization   0.00 μB per formula unit

=====

Entry 5:
Density functional theory data (meta-GGA SCAN) for a PBEsol-optimized structure of NbCdI3.

Unit cell a=5.6558 b=5.6558 c=5.6558 alpha=90.00 beta=90.00 gamma=90.00
Space group Pm-3m (No. 221)
Inequivalent atoms, fractional coordinates:
Nb 0.0000 0.0000 0.0000 (multiplicity 1)
Cd 0.5000 0.5000 0.5000 (multiplicity 1)
I 0.0000 0.5000 0.5000 (multiplicity 3)

Output
Spin magnetization   3.87 μB per formula unit

=====

Entry 6:
Density functional theory data (meta-GGA SCAN) for a PBEsol-optimized structure of NbCdSbI2.

Unit cell a=5.5559 b=5.5559 c=5.4742 alpha=90.00 beta=90.00 gamma=90.00
Space group P4/mmm (No. 123)
Inequivalent atoms, fractional coordinates:
Nb 0.0000 0.0000 0.0000 (multiplicity 1)
Cd 0.5000 0.5000 0.5000 (multiplicity 1)
Sb 0.5000 0.5000 0.0000 (multiplicity 1)
I 0.0000 0.5000 0.5000 (multiplicity 2)

Output
Spin magnetization   2.61 μB per formula unit

=====

Entry 7:
Density functional theory data (meta-GGA SCAN) for a PBEsol-optimized structure of CdIO4.

Unit cell a=11.1677 b=6.6148 c=4.6944 alpha=90.00 beta=90.00 gamma=90.00
Space group Pnma (No. 62)
Inequivalent atoms, fractional coordinates:
Cd 0.0000 0.0000 0.0000 (multiplicity 4)
I 0.2213 0.2500 0.4972 (multiplicity 4)
O 0.0749 0.2500 0.7135 (multiplicity 4)
O 0.1169 0.7500 0.8387 (multiplicity 4)
O 0.1728 0.0372 0.2693 (multiplicity 8)

Output
Spin magnetization   0.99 μB per formula unit

=====

Entry 8:
Density functional theory data (meta-GGA SCAN) for a PBEsol-optimized structure of CdOsIO2.

Unit cell a=4.0111 b=4.0111 c=6.1211 alpha=90.00 beta=90.00 gamma=90.00
Space group P4/mmm (No. 123)
Inequivalent atoms, fractional coordinates:
Cd 0.0000 0.0000 0.0000 (multiplicity 1)
Os 0.5000 0.5000 0.5000 (multiplicity 1)
I 0.0000 0.0000 0.5000 (multiplicity 1)
O 0.0000 0.5000 0.0000 (multiplicity 2)

Output
Spin magnetization   3.92 μB per formula unit

=====

Entry 9:
Density functional theory data (meta-GGA SCAN) for a PBEsol-optimized structure of CdOsI2O.

Unit cell a=5.5563 b=5.5563 c=3.7259 alpha=90.00 beta=90.00 gamma=90.00
Space group P4/mmm (No. 123)
Inequivalent atoms, fractional coordinates:
Cd 0.0000 0.0000 0.0000 (multiplicity 1)
Os 0.5000 0.5000 0.5000 (multiplicity 1)
I 0.0000 0.5000 0.5000 (multiplicity 2)
O 0.5000 0.5000 0.0000 (multiplicity 1)

Output
Spin magnetization   0.00 μB per formula unit

=====

Entry 10:
Density functional theory data (meta-GGA SCAN) for a PBEsol-optimized structure of CdOsIO2.

Unit cell a=3.8312 b=3.8312 c=7.6466 alpha=90.00 beta=90.00 gamma=90.00
Space group P4/mmm (No. 123)
Inequivalent atoms, fractional coordinates:
Cd 0.0000 0.0000 0.0000 (multiplicity 1)
Os 0.5000 0.5000 0.5000 (multiplicity 1)
I 0.5000 0.5000 0.0000 (multiplicity 1)
O 0.0000 0.5000 0.5000 (multiplicity 2)

Output
Spin magnetization   0.00 μB per formula unit

=====

Entry 11:
Density functional theory data (meta-GGA SCAN) for a PBEsol-optimized structure of CdP2IO.

Unit cell a=5.0275 b=5.0275 c=4.0281 alpha=90.00 beta=90.00 gamma=90.00
Space group P4/mmm (No. 123)
Inequivalent atoms, fractional coordinates:
Cd 0.0000 0.0000 0.0000 (multiplicity 1)
P 0.0000 0.5000 0.0000 (multiplicity 2)
I 0.5000 0.5000 0.5000 (multiplicity 1)
O 0.0000 0.0000 0.5000 (multiplicity 1)

Output
Spin magnetization   0.00 μB per formula unit

=====

Entry 12:
Density functional theory data (meta-GGA SCAN) for a PBEsol-optimized structure of CdPtI2O.

Unit cell a=5.5874 b=5.5874 c=3.8101 alpha=90.00 beta=90.00 gamma=90.00
Space group P4/mmm (No. 123)
Inequivalent atoms, fractional coordinates:
Cd 0.0000 0.0000 0.0000 (multiplicity 1)
Pt 0.5000 0.5000 0.5000 (multiplicity 1)
I 0.0000 0.5000 0.5000 (multiplicity 2)
O 0.5000 0.5000 0.0000 (multiplicity 1)

Output
Spin magnetization   0.81 μB per formula unit

=====

Entry 13:
Density functional theory data (meta-GGA SCAN) for a PBEsol-optimized structure of CdPtIO2.

Unit cell a=4.0186 b=4.0186 c=5.5639 alpha=90.00 beta=90.00 gamma=90.00
Space group P4/mmm (No. 123)
Inequivalent atoms, fractional coordinates:
Cd 0.0000 0.0000 0.0000 (multiplicity 1)
Pt 0.5000 0.5000 0.5000 (multiplicity 1)
I 0.5000 0.5000 0.0000 (multiplicity 1)
O 0.0000 0.5000 0.5000 (multiplicity 2)

Output
Spin magnetization   1.04 μB per formula unit

=====

Entry 14:
Density functional theory data (meta-GGA SCAN) for a PBEsol-optimized structure of CdRhIO2.

Unit cell a=3.9630 b=3.9630 c=5.4864 alpha=90.00 beta=90.00 gamma=90.00
Space group P4/mmm (No. 123)
Inequivalent atoms, fractional coordinates:
Cd 0.0000 0.0000 0.0000 (multiplicity 1)
Rh 0.5000 0.5000 0.5000 (multiplicity 1)
I 0.5000 0.5000 0.0000 (multiplicity 1)
O 0.0000 0.5000 0.5000 (multiplicity 2)

Output
Spin magnetization   1.82 μB per formula unit

=====

Ordered uncorrected formation energy results: 2.50; 0.58; 0.20; -0.39; 0.58; 1.00; -0.56; 1.10; -0.01; -0.17; 0.88; -0.07; 0.05; -0.15; unit eV per atom.